TiCo2HRu: relaxed, PBE.

Cell: 3.6279 3.6279 3.9073 Å, 90.00 90.00 90.00°
Fractional coordinates of all 5 atoms:
Ti: 0.0000 0.0000 0.5000
Ru: 0.5000 0.5000 0.5000
Co: 0.5000 0.0000 0.0000
Co: 0.0000 0.5000 0.0000
H: 0.0000 0.0000 0.0000

The calculation puts the volume at 51.4 Å³/cell. The space-group type is P4/mmm (123). The calculation puts the energy above the most stable polymorph in this dataset at 0.007 eV/atom. Its magnetization is 0.000 μB/atom. Its density is 8.65 g/cm3.


BaY2V: relaxed, PBE.

Cell: 7.9025 7.9025 7.9000 Å, 59.99 59.99 90.00°
Last column: magnetic moment on the atom in μB.
Fractional coordinates of all 8 atoms:
Y: 0.3752 0.1250 0.2500  0.10
Y: 0.3748 0.6250 0.2500  0.10
Y: 0.8750 0.6252 0.7500  0.10
Y: 0.3750 0.6248 0.7500  0.10
Ba: 0.0000 0.0000 0.0000  -0.01
Ba: 0.7500 0.2500 0.5000  -0.01
V: 0.5000 0.5000 0.0000  0.85
V: 0.2500 0.7500 0.5000  0.85

The calculation puts the volume at 348.7 Å³/cell. The space-group type is Fd-3m (227). The calculation puts the energy above the most stable polymorph in this dataset at 0.444 eV/atom. Its magnetization is 0.263 μB/atom. Its density is 3.49 g/cm3. As for the formation energy: 1.01 eV per atom.